The following is a SCAN calculation of HfTiCu2 at its PBEsol-relaxed geometry, from the Alexandria database.

- energy of formation (eV/f.u.) = -0.67
- mass density (g/cm3) = 9.66
- symmetry = Fm-3m
- calculated volume (Å³/cell) = 60.8

Unit cell a=4.413 b=4.413 c=4.413 alpha=60.00 beta=60.00 gamma=60.00
Fractional positions:
Hf (0.000, 0.000, 0.000)
Ti (0.500, 0.500, 0.500)
Cu (0.250, 0.250, 0.250)
Cu (0.750, 0.750, 0.750)

---

The following is a SCAN calculation of HfTiZnCu2 at its PBEsol-relaxed geometry, from the Alexandria database.

- energy of formation (eV/f.u.) = 5.92
- mass density (g/cm3) = 7.19
- symmetry = P4/mmm
- calculated volume (Å³/cell) = 96.7

Unit cell a=4.546 b=4.546 c=4.679 alpha=90.00 beta=90.00 gamma=90.00
Fractional positions:
Hf (0.000, 0.000, 0.000)
Ti (0.000, 0.000, 0.500)
Zn (0.500, 0.500, 0.000)
Cu (0.000, 0.500, 0.500)
Cu (0.500, 0.000, 0.500)

---

The following is a SCAN calculation of YHfCu2 at its PBEsol-relaxed geometry, from the Alexandria database.

- energy of formation (eV/f.u.) = -0.51
- mass density (g/cm3) = 9.12
- symmetry = Fm-3m
- calculated volume (Å³/cell) = 71.8

Unit cell a=4.665 b=4.665 c=4.665 alpha=60.00 beta=60.00 gamma=60.00
Fractional positions:
Y (0.000, 0.000, 0.000)
Hf (0.500, 0.500, 0.500)
Cu (0.250, 0.250, 0.250)
Cu (0.750, 0.750, 0.750)

---

The following is a SCAN calculation of Hf2ZnCu2 at its PBEsol-relaxed geometry, from the Alexandria database.

- energy of formation (eV/f.u.) = -1.18
- mass density (g/cm3) = 11.40
- symmetry = P4/mbm
- calculated volume (Å³/cell) = 160.1

Unit cell a=6.763 b=6.763 c=3.501 alpha=90.00 beta=90.00 gamma=90.00
Fractional positions:
Hf (0.170, 0.330, 0.000)
Hf (0.330, 0.830, 0.000)
Hf (0.670, 0.170, 0.000)
Hf (0.830, 0.670, 0.000)
Zn (0.000, 0.000, 0.500)
Zn (0.500, 0.500, 0.500)
Cu (0.128, 0.628, 0.500)
Cu (0.372, 0.128, 0.500)
Cu (0.628, 0.872, 0.500)
Cu (0.872, 0.372, 0.500)

---

The following is a SCAN calculation of HfZrCu at its PBEsol-relaxed geometry, from the Alexandria database.

- energy of formation (eV/f.u.) = -0.54
- mass density (g/cm3) = 10.06
- symmetry = I4mm
- calculated volume (Å³/cell) = 55.0

Unit cell a=5.939 b=5.939 c=5.939 alpha=149.13 beta=149.13 gamma=44.23
Fractional positions:
Hf (0.000, 0.000, 0.000)
Zr (0.310, 0.310, 0.000)
Cu (0.647, 0.647, 0.000)

---

The following is a SCAN calculation of HfZr2Cu2 at its PBEsol-relaxed geometry, from the Alexandria database.

- energy of formation (eV/f.u.) = -0.58
- mass density (g/cm3) = 9.14
- symmetry = P4/mbm
- calculated volume (Å³/cell) = 177.4

Unit cell a=7.485 b=7.485 c=3.166 alpha=90.00 beta=90.00 gamma=90.00
Fractional positions:
Hf (0.000, 0.000, 0.000)
Hf (0.500, 0.500, 0.000)
Zr (0.175, 0.325, 0.500)
Zr (0.325, 0.825, 0.500)
Zr (0.675, 0.175, 0.500)
Zr (0.825, 0.675, 0.500)
Cu (0.120, 0.620, 0.000)
Cu (0.380, 0.120, 0.000)
Cu (0.620, 0.880, 0.000)
Cu (0.880, 0.380, 0.000)

---

Computed spin magnetization, in the same sequence as the records: 1.72 0.00 0.00 0.00 0.00 0.00 μB/cell.